Arrangement P

Cd2ReF: optimized geometry, PBE-GGA.

Lattice parameters (Å, degrees): 6.960 6.960 5.809 53.19 53.19 90.00
Each line ends with the local moment (μB).
Fractional positions:
Cd 0.875 0.827 0.750  0.00
Cd 0.173 0.625 0.250  0.00
Cd 0.375 0.423 0.750  0.00
Cd 0.577 0.125 0.250  0.00
Re 0.000 0.000 0.000  2.32
Re 0.750 0.250 0.500  2.32
F 0.250 0.750 0.500  0.06
F 0.500 0.500 0.000  0.06

Results
Symmetry: I-42d

=====

Arrangement Q

Cd2ReF: optimized geometry, PBE-GGA.

Lattice parameters (Å, degrees): 4.705 4.705 4.705 60.00 60.00 60.00
Each line ends with the local moment (μB).
Fractional positions:
F 0.000 0.000 0.000  0.07
Cd 0.750 0.750 0.750  0.00
Cd 0.250 0.250 0.250  0.00
Re 0.500 0.500 0.500  2.34

Results
Symmetry: Fm-3m

=====

arrangement P takes first place; second place is 146 meV/atom up.

=====

Arrangement P

CdRhF2: optimized geometry, PBE-GGA.

Lattice parameters (Å, degrees): 8.200 8.200 8.200 20.24 20.24 20.24
Each line ends with the local moment (μB).
Fractional positions:
Cd 0.500 0.500 0.500  -0.01
F 0.918 0.918 0.918  0.04
F 0.082 0.082 0.082  0.04
Rh 0.000 0.000 0.000  0.60

Results
Symmetry: R-3m

=====

Arrangement Q

CdRhF2: optimized geometry, PBE-GGA.

Lattice parameters (Å, degrees): 8.296 8.296 8.296 21.02 21.02 21.02
Each line ends with the local moment (μB).
Fractional positions:
Rh 0.500 0.500 0.500  2.09
F 0.896 0.896 0.896  0.16
F 0.104 0.104 0.104  0.16
Cd 0.000 0.000 0.000  -0.03

Results
Symmetry: R-3m

=====

Arrangement R

CdRhF2: optimized geometry, PBE-GGA.

Lattice parameters (Å, degrees): 6.447 6.447 5.379 53.18 53.18 90.00
Each line ends with the local moment (μB).
Fractional positions:
Cd 0.000 0.000 0.000  -0.03
Cd 0.750 0.250 0.500  -0.03
F 0.131 0.625 0.250  0.04
F 0.875 0.869 0.750  0.03
F 0.375 0.381 0.750  0.03
F 0.619 0.125 0.250  0.03
Rh 0.250 0.750 0.500  1.28
Rh 0.500 0.500 0.000  1.28

Results
Symmetry: I-42d

=====

Arrangement S

CdRhF2: optimized geometry, PBE-GGA.

Lattice parameters (Å, degrees): 4.288 4.288 4.288 60.00 60.00 60.00
Each line ends with the local moment (μB).
Fractional positions:
F 0.250 0.250 0.250  0.07
F 0.750 0.750 0.750  0.07
Rh 0.000 0.000 0.000  1.43
Cd 0.500 0.500 0.500  -0.04

Results
Symmetry: Fm-3m

=====

arrangement P takes first place; second place is 207 meV/atom up.

=====

Arrangement P

CdRhF3: optimized geometry, PBE-GGA.

Lattice parameters (Å, degrees): 4.243 4.243 4.243 90.00 90.00 90.00
Each line ends with the local moment (μB).
Fractional positions:
F 0.000 0.000 0.500  0.03
F 0.500 0.000 0.000  -0.01
F 0.000 0.500 0.000  0.02
Cd 0.500 0.500 0.500  0.05
Rh 0.000 0.000 0.000  0.81

Results
Symmetry: Pm-3m

=====

Arrangement Q

CdRhF3: optimized geometry, PBE-GGA.

Lattice parameters (Å, degrees): 4.406 4.406 4.406 90.00 90.00 90.00
Each line ends with the local moment (μB).
Fractional positions:
Rh 0.500 0.500 0.500  1.79
F 0.000 0.000 0.500  0.01
F 0.500 0.000 0.000  0.02
F 0.000 0.500 0.000  0.03
Cd 0.000 0.000 0.000  0.00

Results
Symmetry: Pm-3m

=====

arrangement P takes first place; second place is 97 meV/atom up.

=====

Arrangement P

Cd3RhF: optimized geometry, PBE-GGA.

Lattice parameters (Å, degrees): 4.566 4.566 4.566 90.00 90.00 90.00
Fractional positions:
Cd 0.000 0.000 0.500
Cd 0.500 0.000 0.000
Cd 0.000 0.500 0.000
F 0.000 0.000 0.000
Rh 0.500 0.500 0.500

Results
Symmetry: Pm-3m

=====

Arrangement Q

Cd3RhF: optimized geometry, PBE-GGA.

Lattice parameters (Å, degrees): 5.168 5.168 5.168 90.00 90.00 90.00
Fractional positions:
Rh 0.000 0.000 0.000
Cd 0.000 0.000 0.500
Cd 0.000 0.500 0.000
Cd 0.500 0.000 0.000
F 0.500 0.500 0.500

Results
Symmetry: Pm-3m

=====

arrangement P takes first place; second place is 130 meV/atom up.

=====

Arrangement P

CdRuF2: optimized geometry, PBE-GGA.

Lattice parameters (Å, degrees): 8.518 8.518 8.518 19.16 19.16 19.16
Each line ends with the local moment (μB).
Fractional positions:
Cd 0.500 0.500 0.500  -0.01
F 0.078 0.078 0.078  0.06
F 0.922 0.922 0.922  0.06
Ru 0.000 0.000 0.000  1.00

Results
Symmetry: R-3m

=====

Arrangement Q

CdRuF2: optimized geometry, PBE-GGA.

Lattice parameters (Å, degrees): 6.575 6.575 5.486 53.19 53.19 90.00
Each line ends with the local moment (μB).
Fractional positions:
Cd 0.000 0.000 0.000  0.05
Cd 0.750 0.250 0.500  0.05
F 0.161 0.625 0.250  -0.09
F 0.589 0.125 0.250  -0.08
F 0.875 0.839 0.750  -0.09
F 0.375 0.411 0.750  -0.08
Ru 0.500 0.500 0.000  -2.54
Ru 0.250 0.750 0.500  -2.56

Results
Symmetry: I-42d

=====

Arrangement R

CdRuF2: optimized geometry, PBE-GGA.

Lattice parameters (Å, degrees): 4.330 4.330 4.330 60.00 60.00 60.00
Each line ends with the local moment (μB).
Fractional positions:
F 0.250 0.250 0.250  0.07
F 0.750 0.750 0.750  0.07
Ru 0.000 0.000 0.000  2.55
Cd 0.500 0.500 0.500  -0.06

Results
Symmetry: Fm-3m

=====

Arrangement S

CdRuF2: optimized geometry, PBE-GGA.

Lattice parameters (Å, degrees): 8.453 8.453 8.453 20.21 20.21 20.21
Each line ends with the local moment (μB).
Fractional positions:
Ru 0.500 0.500 0.500  2.99
Cd 0.000 0.000 0.000  -0.06
F 0.899 0.899 0.899  0.14
F 0.101 0.101 0.101  0.14

Results
Symmetry: R-3m

=====

arrangement P takes first place; second place is 234 meV/atom up.

=====

Arrangement P

CdRuF3: optimized geometry, PBE-GGA.

Lattice parameters (Å, degrees): 4.257 4.257 4.257 90.00 90.00 90.00
Each line ends with the local moment (μB).
Fractional positions:
F 0.000 0.000 0.500  0.01
F 0.500 0.000 0.000  0.03
F 0.000 0.500 0.000  0.03
Cd 0.500 0.500 0.500  -0.12
Ru 0.000 0.000 0.000  1.43

Results
Symmetry: Pm-3m

=====

Arrangement Q

CdRuF3: optimized geometry, PBE-GGA.

Lattice parameters (Å, degrees): 4.412 4.412 4.412 90.00 90.00 90.00
Each line ends with the local moment (μB).
Fractional positions:
Ru 0.500 0.500 0.500  2.79
F 0.000 0.000 0.500  0.01
F 0.500 0.000 0.000  0.02
F 0.000 0.500 0.000  0.02
Cd 0.000 0.000 0.000  0.00

Results
Symmetry: Pm-3m

=====

arrangement P takes first place; second place is 157 meV/atom up.

=====

Arrangement P

CdSF3: optimized geometry, PBE-GGA.

Lattice parameters (Å, degrees): 4.445 4.445 4.445 90.00 90.00 90.00
Each line ends with the local moment (μB).
Fractional positions:
F 0.000 0.000 0.500  0.19
F 0.500 0.000 0.000  0.14
F 0.000 0.500 0.000  0.10
Cd 0.000 0.000 0.000  0.00
S 0.500 0.500 0.500  1.62

Results
Symmetry: Pm-3m

=====

Arrangement Q

CdSF3: optimized geometry, PBE-GGA.

Lattice parameters (Å, degrees): 4.312 4.312 4.312 90.00 90.00 90.00
Fractional positions:
F 0.000 0.500 0.000
F 0.500 0.000 0.000
F 0.000 0.000 0.500
Cd 0.500 0.500 0.500
S 0.000 0.000 0.000

Results
Symmetry: Pm-3m

=====

arrangement P takes first place; second place is 339 meV/atom up.

=====

Arrangement P

CdSF: optimized geometry, PBE-GGA.

Lattice parameters (Å, degrees): 3.968 4.223 7.406 104.47 93.74 102.64
Fractional positions:
Cd 0.870 0.192 0.661
Cd 0.345 0.558 0.286
F 0.940 0.913 0.023
F 0.608 0.147 0.347
S 0.250 0.763 0.627
S 0.826 0.515 0.037

Results
Symmetry: P1

=====

Arrangement Q

CdSF: optimized geometry, PBE-GGA.

Lattice parameters (Å, degrees): 3.653 6.112 16.107 90.00 90.00 90.00
Fractional positions:
S 0.500 0.897 0.213
S 0.000 0.272 0.606
S 0.000 0.994 0.394
S 0.500 0.006 0.894
S 0.000 0.103 0.713
S 0.500 0.728 0.106
Cd 0.500 0.081 0.497
Cd 0.500 0.400 0.869
Cd 0.000 0.691 0.666
Cd 0.500 0.309 0.166
Cd 0.000 0.919 0.997
Cd 0.000 0.600 0.369
F 0.500 0.771 0.583
F 0.000 0.422 0.249
F 0.500 0.443 0.422
F 0.000 0.557 0.922
F 0.500 0.578 0.749
F 0.000 0.229 0.083

Results
Symmetry: Pmn2_1

=====

arrangement Q takes first place; second place is 145 meV/atom up.

=====

Arrangement P

CdSF: optimized geometry, PBE-GGA.

Lattice parameters (Å, degrees): 4.070 4.106 8.525 76.46 80.14 63.39
Fractional positions:
S 0.293 0.410 0.617
S 0.519 0.807 0.024
Cd 0.347 0.530 0.310
Cd 0.619 0.706 0.722
F 0.008 0.196 0.319
F 0.126 0.191 0.991

Results
Symmetry: P1

=====

Arrangement Q

CdSF: optimized geometry, PBE-GGA.

Lattice parameters (Å, degrees): 4.249 4.446 7.102 93.62 90.34 118.15
Fractional positions:
Cd 0.852 0.236 0.717
Cd 0.529 0.586 0.285
F 0.209 0.945 0.965
F 0.813 0.170 0.301
S 0.019 0.570 0.077
S 0.523 0.582 0.638

Results
Symmetry: P1

=====

arrangement Q takes first place; second place is 44 meV/atom up.

=====

Arrangement P

Cd2SF2: optimized geometry, PBE-GGA.

Lattice parameters (Å, degrees): 3.786 3.786 6.027 99.99 100.00 83.29
Fractional positions:
Cd 0.309 0.309 0.739
Cd 0.691 0.691 0.261
F 0.256 0.744 0.500
F 0.744 0.256 0.500
S 0.000 0.000 0.000

Results
Symmetry: C2/m

=====

Arrangement Q

Cd2SF2: optimized geometry, PBE-GGA.

Lattice parameters (Å, degrees): 3.724 3.724 8.178 76.84 76.84 60.00
Fractional positions:
F 0.225 0.225 0.326
F 0.775 0.775 0.674
Cd 0.598 0.598 0.205
Cd 0.402 0.402 0.795
S 0.000 0.000 0.000

Results
Symmetry: R-3m

=====

arrangement Q takes first place; second place is 59 meV/atom up.

=====

Arrangement P

CdSbF2: optimized geometry, PBE-GGA.

Lattice parameters (Å, degrees): 4.583 4.583 4.583 60.00 60.00 60.00
Fractional positions:
Cd 0.000 0.000 0.000
F 0.750 0.750 0.750
F 0.250 0.250 0.250
Sb 0.500 0.500 0.500

Results
Symmetry: Fm-3m

=====

Arrangement Q

CdSbF2: optimized geometry, PBE-GGA.

Lattice parameters (Å, degrees): 8.411 8.411 8.411 22.35 22.35 22.35
Fractional positions:
Sb 0.000 0.000 0.000
F 0.912 0.912 0.912
F 0.088 0.088 0.088
Cd 0.500 0.500 0.500

Results
Symmetry: R-3m

=====

Arrangement R

CdSbF2: optimized geometry, PBE-GGA.

Lattice parameters (Å, degrees): 7.397 7.397 5.997 51.93 51.93 90.00
Fractional positions:
Sb 0.000 0.000 0.000
Sb 0.750 0.250 0.500
Cd 0.250 0.750 0.500
Cd 0.500 0.500 0.000
F 0.706 0.125 0.250
F 0.875 0.956 0.750
F 0.375 0.294 0.750
F 0.044 0.625 0.250

Results
Symmetry: I-42d

=====

arrangement Q takes first place; second place is 206 meV/atom up.